First-principles (GGA-PBE) data for an optimized crystal structure of LiScCu2, as listed in Alexandria via LeMat-Bulk.

a = 5.566 Å, b = 5.566 Å, c = 5.566 Å
α = 102.48°, β = 102.48°, γ = 124.59°
Atoms (fractional coordinates):
Li  0.000  0.000  0.000
Li  0.750  0.250  0.500
Sc  0.250  0.750  0.500
Sc  0.500  0.500  0.000
Cu  0.095  0.625  0.970
Cu  0.375  0.345  0.470
Cu  0.655  0.125  0.030
Cu  0.875  0.905  0.530

## Properties
E in eV/atom: -3.95
D(E_F) in states/eV per atom: 0.296
Formation enthalpy at 0 K in meV per atom: 155